[1]
The following is a PBE calculation of KYSb2 after structural relaxation, from the Alexandria database.

Computed properties:
The calculation puts the energy above the most stable polymorph in this dataset at 0.88 eV/f.u. The uncorrected formation energy is -438 meV/atom. The value obtained for the density of states at the Fermi level is 2.462 states/eV/f.u. The total magnetization is 0.0 Bohr magnetons per cell.

Cell: 4.326 5.233 5.233 Å, 90.00 90.00 90.00°
Fractional positions:
K: 0.500 0.000 0.500
Sb: 0.000 0.000 0.000
Sb: 0.000 0.500 0.500
Y: 0.500 0.500 0.000

=====

[2]
The following is a PBE calculation of Li3Pu2Pt4 after structural relaxation, from the Alexandria database.

Computed properties:
As for the formation energy: -0.63 eV/atom. The value obtained for the density of states at the Fermi level is 23.979 states/eV/f.u. The total magnetization is 20.8 Bohr magnetons per cell.

Cell: 5.511 7.593 7.923 Å, 90.00 110.35 90.00°
Each line ends with the local moment (μB).
Fractional positions:
Li: 0.000 0.000 0.000  0.01
Li: 0.500 0.500 0.000  0.01
Li: 0.531 0.750 0.562  0.02
Li: 0.969 0.250 0.438  0.02
Li: 0.469 0.250 0.438  0.02
Li: 0.031 0.750 0.562  0.02
Pu: 0.112 0.589 0.224  5.08
Pu: 0.888 0.411 0.776  5.08
Pu: 0.388 0.089 0.776  5.08
Pu: 0.612 0.911 0.224  5.08
Pt: 0.698 0.750 0.896  -0.06
Pt: 0.802 0.250 0.104  -0.06
Pt: 0.302 0.250 0.104  -0.06
Pt: 0.198 0.750 0.896  -0.06
Pt: 0.177 0.965 0.354  -0.09
Pt: 0.823 0.035 0.646  -0.09
Pt: 0.323 0.465 0.646  -0.09
Pt: 0.677 0.535 0.354  -0.09